Record 1
TlIn2W: optimized geometry, GGA-PBE.

Computed properties:
relative energy among the computed polymorphs = 141 meV per atom
N(E_F) = 2.30 states/eV per cell

Unit cell a=3.7400 b=3.7400 c=6.1649 alpha=90.00 beta=90.00 gamma=90.00
Atoms (fractional coordinates):
Tl  0.0000  0.0000  0.0000
In  0.5000  0.5000  0.2712
In  0.5000  0.5000  0.7288
W  0.0000  0.0000  0.5000

Record 2
TlIn2W: optimized geometry, GGA-PBE.

Computed properties:
relative energy among the computed polymorphs = 13 meV per atom
N(E_F) = 2.19 states/eV per cell

Unit cell a=2.9987 b=2.9987 c=10.7509 alpha=90.00 beta=90.00 gamma=106.22
Atoms (fractional coordinates):
Tl  0.0000  0.0000  0.0000
In  0.5000  0.5000  0.2858
In  0.5000  0.5000  0.7142
W  0.0000  0.0000  0.5000

Record 3
TlIn2W: optimized geometry, GGA-PBE.

Computed properties:
relative energy among the computed polymorphs = 204 meV per atom
N(E_F) = 2.97 states/eV per cell

Unit cell a=5.3489 b=5.3489 c=3.0682 alpha=90.00 beta=90.00 gamma=90.00
Atoms (fractional coordinates):
Tl  0.0000  0.0000  0.0000
In  0.0000  0.5000  0.5000
In  0.5000  0.0000  0.5000
W  0.5000  0.5000  0.0000

Record 4
TlIn2W: optimized geometry, GGA-PBE.

Computed properties:
relative energy among the computed polymorphs = 79 meV per atom
N(E_F) = 2.95 states/eV per cell

Unit cell a=11.2629 b=11.2629 c=11.2629 alpha=15.78 beta=15.78 gamma=15.78
Atoms (fractional coordinates):
Tl  0.0000  0.0000  0.0000
In  0.5187  0.5187  0.5187
In  0.7673  0.7673  0.7673
W  0.2560  0.2560  0.2560

Record 5
TlIn2W: optimized geometry, GGA-PBE.

Computed properties:
relative energy among the computed polymorphs = 14 meV per atom
N(E_F) = 2.83 states/eV per cell

Unit cell a=7.6033 b=7.6033 c=7.6033 alpha=157.70 beta=142.68 gamma=43.90
Atoms (fractional coordinates):
Tl  0.0000  0.0000  0.0000
In  0.3136  0.8136  0.5000
In  0.6347  0.6347  0.0000
W  0.8108  0.3108  0.5000

Record 6
Tl3InW: optimized geometry, GGA-PBE.

Computed properties:
relative energy among the computed polymorphs = 0 meV per atom
N(E_F) = 2.94 states/eV per cell

Unit cell a=5.4254 b=5.4254 c=5.4254 alpha=90.00 beta=90.00 gamma=90.00
Atoms (fractional coordinates):
Tl  0.0000  0.0000  0.5000
Tl  0.0000  0.5000  0.0000
Tl  0.5000  0.0000  0.0000
In  0.5000  0.5000  0.5000
W  0.0000  0.0000  0.0000

Record 7
TlIn2W: optimized geometry, GGA-PBE.

Computed properties:
relative energy among the computed polymorphs = 200 meV per atom
N(E_F) = 2.65 states/eV per cell

Unit cell a=5.4366 b=5.4366 c=3.0015 alpha=90.00 beta=90.00 gamma=98.59
Atoms (fractional coordinates):
Tl  0.0000  0.0000  0.0000
In  0.0000  0.5000  0.5000
In  0.5000  0.0000  0.5000
W  0.5000  0.5000  0.0000

Record 8
TlIn2W: optimized geometry, GGA-PBE.

Computed properties:
relative energy among the computed polymorphs = 203 meV per atom
N(E_F) = 2.13 states/eV per cell

Unit cell a=3.7755 b=3.7755 c=6.0585 alpha=90.00 beta=90.00 gamma=90.00
Atoms (fractional coordinates):
Tl  0.0000  0.0000  0.0000
In  0.0000  0.0000  0.4716
In  0.5000  0.5000  0.7418
W  0.5000  0.5000  0.2538

no.,energy of formation (kJ/mol of formula units)
1,253
2,203
3,277
4,229
5,204
6,346
7,276
8,277